Here is an optimized crystal structure of BaErIn4O8 from Alexandria. Energies are from GGA-PBE.

Lattice parameters (Å, degrees): 6.816 6.816 6.855 60.19 60.19 60.00
Atoms (fractional coordinates):
Ba: 0.375 0.375 0.874
Er: 0.002 0.002 0.995
In: 0.624 0.624 0.127
In: 0.001 0.496 0.501
In: 0.496 0.001 0.501
In: 0.001 0.001 0.501
O: 0.229 0.815 0.727
O: 0.815 0.229 0.727
O: 0.229 0.229 0.727
O: 0.228 0.228 0.316
O: 0.758 0.219 0.265
O: 0.219 0.758 0.265
O: 0.758 0.758 0.265
O: 0.764 0.764 0.707

Computed properties:
raw formation energy = -1.97 eV/atom
density of states at the Fermi level = 0.1422 states/eV/atom
symmetry = R3m
spin magnetization = 0.0000 μB per atom


Here is an optimized crystal structure of BaErInPb from Alexandria. Energies are from GGA-PBE.

Lattice parameters (Å, degrees): 5.703 5.703 5.703 60.00 60.00 60.00
Atoms (fractional coordinates):
Pb: 0.750 0.750 0.750
In: 0.250 0.250 0.250
Ba: 0.500 0.500 0.500
Er: 0.000 0.000 0.000

Computed properties:
density of states at the Fermi level = 0.8595 states/eV/atom
symmetry = F-43m
spin magnetization = 0.0000 μB per atom
final energy = -3.54 eV per atom


Here is an optimized crystal structure of Ba2ErInS5 from Alexandria. Energies are from GGA-PBE.

Lattice parameters (Å, degrees): 4.137 9.385 13.017 90.00 90.00 102.73
Atoms (fractional coordinates):
Ba: 0.867 0.733 0.814
Ba: 0.117 0.233 0.683
Ba: 0.133 0.267 0.314
Ba: 0.883 0.767 0.183
Er: 0.788 0.575 0.521
Er: 0.212 0.425 0.021
In: 0.553 0.106 0.943
In: 0.447 0.894 0.443
S: 0.354 0.709 0.002
S: 0.687 0.374 0.878
S: 0.496 0.993 0.775
S: 0.290 0.579 0.656
S: 0.947 0.893 0.552
S: 0.646 0.291 0.502
S: 0.313 0.626 0.378
S: 0.504 0.007 0.275
S: 0.710 0.421 0.156
S: 0.053 0.107 0.052

Computed properties:
raw formation energy = -1.72 eV/atom
density of states at the Fermi level = 0.0000 states/eV/atom
symmetry = Cmc2_1
spin magnetization = 0.0000 μB per atom


Here is an optimized crystal structure of Ba2ErInTe5 from Alexandria. Energies are from GGA-PBE.

Lattice parameters (Å, degrees): 10.532 10.532 14.306 90.00 90.00 154.93
Atoms (fractional coordinates):
Ba: 0.131 0.869 0.815
Ba: 0.869 0.131 0.315
Ba: 0.120 0.880 0.181
Ba: 0.880 0.120 0.681
Er: 0.209 0.791 0.518
Er: 0.791 0.209 0.018
In: 0.442 0.558 0.935
In: 0.558 0.442 0.435
Te: 0.354 0.646 0.501
Te: 0.646 0.354 0.001
Te: 0.292 0.708 0.160
Te: 0.708 0.292 0.660
Te: 0.309 0.691 0.867
Te: 0.691 0.309 0.367
Te: 0.503 0.497 0.762
Te: 0.497 0.503 0.262
Te: 0.052 0.948 0.554
Te: 0.948 0.052 0.054

Computed properties:
raw formation energy = -1.29 eV/atom
symmetry = Cmc2_1
spin magnetization = 0.0000 μB per atom


Here is an optimized crystal structure of BaErZnIn from Alexandria. Energies are from GGA-PBE.

Lattice parameters (Å, degrees): 5.563 5.563 5.563 60.00 60.00 60.00
Atoms (fractional coordinates):
Zn: 0.000 0.000 0.000
In: 0.500 0.500 0.500
Ba: 0.250 0.250 0.250
Er: 0.750 0.750 0.750

Computed properties:
density of states at the Fermi level = 0.8235 states/eV/atom
symmetry = F-43m
spin magnetization = 0.0000 μB per atom
final energy = -2.80 eV per atom


Here is an optimized crystal structure of BaEr3Ir from Alexandria. Energies are from GGA-PBE.

Lattice parameters (Å, degrees): 5.514 5.514 5.514 90.00 90.00 90.00
Atoms (fractional coordinates):
Ir: 0.000 0.000 0.000
Ba: 0.500 0.500 0.500
Er: 0.000 0.500 0.000
Er: 0.000 0.000 0.500
Er: 0.500 0.000 0.000

Computed properties:
density of states at the Fermi level = 1.1847 states/eV/atom
symmetry = Pm-3m
spin magnetization = 0.0000 μB per atom
final energy = -5.24 eV per atom


Here is an optimized crystal structure of BaErIr4 from Alexandria. Energies are from GGA-PBE.

Lattice parameters (Å, degrees): 5.475 5.475 5.475 60.00 60.00 60.00
Atoms (fractional coordinates):
Ir: 0.626 0.626 0.123
Ir: 0.626 0.123 0.626
Ir: 0.626 0.626 0.626
Ir: 0.123 0.626 0.626
Ba: 0.250 0.250 0.250
Er: 0.000 0.000 0.000

Computed properties:
density of states at the Fermi level = 1.2737 states/eV/atom
symmetry = F-43m
spin magnetization = 0.0000 μB per atom
final energy = -7.32 eV per atom


Here is an optimized crystal structure of BaErIr2O8 from Alexandria. Energies are from GGA-PBE.

Lattice parameters (Å, degrees): 5.928 5.928 7.635 90.00 90.00 120.00
Atoms (fractional coordinates):
Ba: 0.000 0.000 0.000
Er: 0.000 0.000 0.500
Ir: 0.667 0.333 0.236
Ir: 0.333 0.667 0.764
O: 0.333 0.667 0.003
O: 0.320 0.151 0.306
O: 0.849 0.170 0.306
O: 0.667 0.333 0.997
O: 0.151 0.830 0.694
O: 0.680 0.849 0.694
O: 0.170 0.320 0.694
O: 0.830 0.680 0.306

Computed properties:
raw formation energy = -1.38 eV/atom
density of states at the Fermi level = 0.9495 states/eV/atom
symmetry = P-3
spin magnetization = 0.0813 μB per atom


Here is an optimized crystal structure of BaEr2IrO8 from Alexandria. Energies are from GGA-PBE.

Lattice parameters (Å, degrees): 5.238 4.321 7.231 72.88 88.29 87.44
Atoms (fractional coordinates):
Ba: 0.000 0.000 0.500
Er: 0.529 0.380 0.811
Er: 0.471 0.620 0.189
Ir: 0.000 0.000 0.000
O: 0.039 0.639 0.243
O: 0.693 0.836 0.902
O: 0.762 0.210 0.132
O: 0.961 0.361 0.757
O: 0.307 0.164 0.098
O: 0.238 0.790 0.868
O: 0.503 0.679 0.491
O: 0.497 0.321 0.509

Computed properties:
raw formation energy = -2.12 eV/atom
density of states at the Fermi level = 0.4726 states/eV/atom
symmetry = P-1
spin magnetization = 0.1033 μB per atom


Here is an optimized crystal structure of Ba2ErIr3O12 from Alexandria. Energies are from GGA-PBE.

Lattice parameters (Å, degrees): 7.037 7.037 7.037 62.37 62.37 62.37
Atoms (fractional coordinates):
Ba: 0.614 0.614 0.614
Ba: 0.386 0.386 0.386
Er: 0.000 0.000 0.000
Ir: 0.500 0.000 0.000
Ir: 0.000 0.500 0.000
Ir: 0.000 0.000 0.500
O: 0.307 0.307 0.883
O: 0.888 0.888 0.385
O: 0.385 0.888 0.888
O: 0.883 0.307 0.307
O: 0.888 0.385 0.888
O: 0.307 0.883 0.307
O: 0.693 0.693 0.117
O: 0.112 0.112 0.615
O: 0.615 0.112 0.112
O: 0.117 0.693 0.693
O: 0.112 0.615 0.112
O: 0.693 0.117 0.693

Computed properties:
raw formation energy = -1.54 eV/atom
density of states at the Fermi level = 0.7538 states/eV/atom
symmetry = R-3m
spin magnetization = 0.0000 μB per atom


Here is an optimized crystal structure of BaEr2IrO5 from Alexandria. Energies are from GGA-PBE.

Lattice parameters (Å, degrees): 3.979 5.715 6.748 115.05 107.15 90.00
Atoms (fractional coordinates):
Ba: 0.000 0.500 0.000
Er: 0.204 0.204 0.408
Er: 0.796 0.796 0.592
Ir: 0.500 0.000 0.000
O: 0.658 0.921 0.315
O: 0.342 0.079 0.685
O: 0.342 0.606 0.685
O: 0.658 0.394 0.315
O: 0.000 0.000 0.000

Computed properties:
raw formation energy = -2.36 eV/atom
density of states at the Fermi level = 0.4038 states/eV/atom
symmetry = Immm
spin magnetization = 0.1125 μB per atom


Here is an optimized crystal structure of KBa2Er from Alexandria. Energies are from GGA-PBE.

Lattice parameters (Å, degrees): 6.661 6.661 6.659 59.99 59.99 60.00
Atoms (fractional coordinates):
K: 0.500 0.500 0.500
Ba: 0.250 0.250 0.249
Ba: 0.750 0.750 0.751
Er: 0.000 0.000 0.000

Computed properties:
density of states at the Fermi level = 1.4137 states/eV/atom
symmetry = Fm-3m
spin magnetization = 0.0000 μB per atom
final energy = -2.02 eV per atom


Here is an optimized crystal structure of BaLa2Er from Alexandria. Energies are from GGA-PBE.

Lattice parameters (Å, degrees): 3.714 3.714 13.426 82.05 82.05 60.00
Atoms (fractional coordinates):
La: 0.094 0.094 0.717
La: 0.906 0.906 0.283
Ba: 0.000 0.000 0.000
Er: 0.500 0.500 0.500

Computed properties:
density of states at the Fermi level = 1.7050 states/eV/atom
relative energy among the computed polymorphs = 0.33 eV per formula unit
symmetry = R-3m
spin magnetization = 0.0000 μB per atom


Here is an optimized crystal structure of BaLa2Er from Alexandria. Energies are from GGA-PBE.

Lattice parameters (Å, degrees): 3.822 3.822 10.903 90.00 90.00 90.00
Atoms (fractional coordinates):
La: 0.000 0.000 0.785
La: 0.000 0.000 0.215
Ba: 0.500 0.500 0.500
Er: 0.500 0.500 0.000

Computed properties:
density of states at the Fermi level = 1.3942 states/eV/atom
relative energy among the computed polymorphs = 0.00 eV per formula unit
symmetry = P4/mmm
spin magnetization = 0.0001 μB per atom


Here is an optimized crystal structure of Ba2LaEr3O8 from Alexandria. Energies are from GGA-PBE.

Lattice parameters (Å, degrees): 6.983 6.983 7.326 61.54 61.54 60.00
Atoms (fractional coordinates):
Ba: 0.123 0.123 0.632
Ba: 0.499 0.499 0.503
La: 0.884 0.884 0.348
Er: 0.498 0.006 0.999
Er: 0.006 0.498 0.999
Er: 0.498 0.498 0.999
O: 0.269 0.269 0.192
O: 0.735 0.735 0.794
O: 0.248 0.248 0.813
O: 0.691 0.248 0.813
O: 0.248 0.691 0.813
O: 0.758 0.278 0.207
O: 0.278 0.758 0.207
O: 0.758 0.758 0.207

Computed properties:
raw formation energy = -3.20 eV/atom
density of states at the Fermi level = 0.0000 states/eV/atom
symmetry = R3m
spin magnetization = 0.0000 μB per atom


Here is an optimized crystal structure of Ba2LaErS4 from Alexandria. Energies are from GGA-PBE.

Lattice parameters (Å, degrees): 4.199 7.281 7.548 108.66 90.00 90.00
Atoms (fractional coordinates):
Ba: 0.500 0.000 0.500
Ba: 0.000 0.500 0.500
La: 0.500 0.500 0.000
Er: 0.000 0.000 0.000
S: 0.500 0.225 0.210
S: 0.500 0.775 0.790
S: 0.000 0.248 0.783
S: 0.000 0.752 0.217

Computed properties:
raw formation energy = -2.03 eV/atom
density of states at the Fermi level = 0.4718 states/eV/atom
symmetry = P2/m
spin magnetization = 0.0000 μB per atom


Here is an optimized crystal structure of Ba2LaErSe4 from Alexandria. Energies are from GGA-PBE.

Lattice parameters (Å, degrees): 4.365 7.565 7.825 108.75 90.00 90.00
Atoms (fractional coordinates):
Ba: 0.500 0.000 0.500
Ba: 0.000 0.500 0.500
La: 0.500 0.500 0.000
Er: 0.000 0.000 0.000
Se: 0.500 0.227 0.213
Se: 0.500 0.773 0.787
Se: 0.000 0.248 0.780
Se: 0.000 0.752 0.220

Computed properties:
raw formation energy = -1.91 eV/atom
density of states at the Fermi level = 0.4906 states/eV/atom
symmetry = P2/m
spin magnetization = 0.0000 μB per atom


Here is an optimized crystal structure of BaLi2Er from Alexandria. Energies are from GGA-PBE.

Lattice parameters (Å, degrees): 3.952 3.952 8.255 90.00 90.00 90.00
Atoms (fractional coordinates):
Li: 0.000 0.000 0.794
Li: 0.000 0.000 0.206
Ba: 0.500 0.500 0.500
Er: 0.500 0.500 0.000

Computed properties:
density of states at the Fermi level = 1.1873 states/eV/atom
symmetry = P4/mmm
spin magnetization = 0.0050 μB per atom
final energy = -2.40 eV per atom


Here is an optimized crystal structure of BaLiErMg from Alexandria. Energies are from GGA-PBE.

Lattice parameters (Å, degrees): 5.722 5.722 5.722 60.00 60.00 60.00
Atoms (fractional coordinates):
Mg: 0.500 0.500 0.500
Li: 0.000 0.000 0.000
Ba: 0.250 0.250 0.250
Er: 0.750 0.750 0.750

Computed properties:
density of states at the Fermi level = 1.1052 states/eV/atom
symmetry = F-43m
spin magnetization = 0.0001 μB per atom
final energy = -2.35 eV per atom


Here is an optimized crystal structure of Ba2Li2ErO4 from Alexandria. Energies are from GGA-PBE.

Lattice parameters (Å, degrees): 3.487 6.331 6.556 107.01 105.42 90.00
Atoms (fractional coordinates):
Ba: 0.141 0.557 0.283
Ba: 0.859 0.443 0.717
Li: 0.681 0.994 0.363
Li: 0.319 0.006 0.637
Er: 0.000 0.000 0.000
O: 0.192 0.150 0.384
O: 0.808 0.850 0.616
O: 0.526 0.780 0.052
O: 0.474 0.220 0.948

Computed properties:
raw formation energy = -2.27 eV/atom
density of states at the Fermi level = 0.2733 states/eV/atom
symmetry = C2/m
spin magnetization = 0.0282 μB per atom


Here is an optimized crystal structure of BaLiErO3 from Alexandria. Energies are from GGA-PBE.

Lattice parameters (Å, degrees): 6.012 6.012 6.094 90.00 90.00 120.00
Atoms (fractional coordinates):
Ba: 0.667 0.333 0.250
Ba: 0.333 0.667 0.750
Li: 0.333 0.667 0.250
Li: 0.667 0.333 0.750
Er: 0.000 0.000 0.500
Er: 0.000 0.000 0.000
O: 0.840 0.160 0.750
O: 0.160 0.321 0.250
O: 0.321 0.160 0.750
O: 0.679 0.840 0.250
O: 0.840 0.679 0.750
O: 0.160 0.840 0.250

Computed properties:
raw formation energy = -2.69 eV/atom
density of states at the Fermi level = 0.0000 states/eV/atom
symmetry = P6_3/mmc
spin magnetization = 0.0000 μB per atom


Here is an optimized crystal structure of BaLiEr2S4 from Alexandria. Energies are from GGA-PBE.

Lattice parameters (Å, degrees): 4.032 6.943 13.607 90.00 90.00 106.88
Atoms (fractional coordinates):
Ba: 0.115 0.230 0.750
Ba: 0.885 0.770 0.250
Li: 0.843 0.685 0.750
Li: 0.157 0.315 0.250
Er: 0.372 0.745 0.555
Er: 0.628 0.255 0.055
Er: 0.628 0.255 0.445
Er: 0.372 0.745 0.945
S: 0.263 0.526 0.112
S: 0.737 0.474 0.612
S: 0.737 0.474 0.888
S: 0.263 0.526 0.388
S: 0.000 0.000 0.500
S: 0.000 0.000 0.000
S: 0.433 0.866 0.750
S: 0.567 0.134 0.250

Computed properties:
raw formation energy = -1.94 eV/atom
density of states at the Fermi level = 0.2433 states/eV/atom
symmetry = Cmcm
spin magnetization = 0.0000 μB per atom


Here is an optimized crystal structure of Ba2Li2ErSe4 from Alexandria. Energies are from GGA-PBE.

Lattice parameters (Å, degrees): 4.235 7.624 8.030 109.56 105.29 90.00
Atoms (fractional coordinates):
Ba: 0.134 0.558 0.268
Ba: 0.866 0.442 0.732
Li: 0.680 0.992 0.359
Li: 0.320 0.008 0.641
Er: 0.000 0.000 0.000
Se: 0.201 0.189 0.403
Se: 0.799 0.811 0.597
Se: 0.516 0.755 0.033
Se: 0.484 0.245 0.967

Computed properties:
raw formation energy = -1.64 eV/atom
density of states at the Fermi level = 0.4622 states/eV/atom
symmetry = C2/m
spin magnetization = 0.0001 μB per atom